Density functional theory data (GGA+U) for an optimized crystal structure of Ca3NdMn2O8.

Calculated values
**DOS at the Fermi energy**: 0.12 states/eV/atom
**Space-group type**: P4mm, No. 99
**Energy**: -100.0 eV/f.u.
**Total moment**: 0.500 μB/atom

Cell lengths 3.8528, 3.8528, 11.8907 Å; angles 90.00, 90.00, 90.00 degrees
Atoms (fractional coordinates):
Ca1 0.0000 0.0000 0.0000
Ca2 0.0000 0.0000 0.2756
Ca3 0.5000 0.5000 0.7914
Nd1 0.5000 0.5000 0.4978
Mn1 0.0000 0.0000 0.6464
Mn2 0.5000 0.5000 0.1388
O1 0.0000 0.0000 0.4723
O2 0.0000 0.0000 0.8079
O3 0.0000 0.5000 0.1419
O4 0.0000 0.5000 0.6360
O5 0.5000 0.0000 0.1419
O6 0.5000 0.0000 0.6360
O7 0.5000 0.5000 0.3084
O8 0.5000 0.5000 0.9764